Compound: Mg2TlSi
Source: the Alexandria database
Functional: PBE-GGA
Structure: optimized geometry

Results
total DFT energy (no corrections) = -10.45 eV per cell
formation energy from raw total energies = 132 meV/atom

Lattice parameters (Å, degrees): 5.626 5.626 5.626 135.83 135.83 64.24
Positions (direct):
Mg 0.000 0.000 0.000
Mg 0.250 0.750 0.500
Tl 0.750 0.250 0.500
Si 0.500 0.500 0.000